## Tb6YHo2Tm3 (PBE)

Data for a relaxed Tb6YHo2Tm3 crystal.

a b c (Å): 6.1326 10.6092 11.7003
angles (deg): 90.00 100.00 90.00
Space group C2/m (No. 12)
Symmetry-distinct sites (fractional):
Tb  0.2483  0.1671  0.2484 (multiplicity 8)
Tb  0.2504  0.0000  0.7517 (multiplicity 4)
Y  0.0000  0.5000  0.5000 (multiplicity 2)
Ho  0.0000  0.1666  0.5000 (multiplicity 4)
Tm  0.0000  0.0000  0.0000 (multiplicity 2)
Tm  0.0000  0.3333  0.0000 (multiplicity 4)

Calculated values
- total DFT energy (no corrections) (eV/atom) = -4.7156
- total moment (μB/cell) = 0.0
- DFT formation energy (meV per atom) = 19
- volume (Å³/atom) = 31.24